1.
# Zr2HgAs, PBEsol geometry, DFT SCAN
data_Zr2HgAs
_chemical_formula_sum 'Zr4 Hg2 As2'
_symmetry_space_group_name_H-M 'P 1'
_symmetry_Int_Tables_number 1
_symmetry_space_group_name_Hall 'P 1'
_cell_length_a 4.052
_cell_length_b 4.052
_cell_length_c 9.641
_cell_angle_alpha 90.00
_cell_angle_beta 90.00
_cell_angle_gamma 90.00
loop_
_atom_site_label
_atom_site_type_symbol
_atom_site_fract_x
_atom_site_fract_y
_atom_site_fract_z
_atom_site_occupancy
Zr1 Zr 0.000 0.000 0.000 1
Zr2 Zr 0.000 0.500 0.250 1
Zr3 Zr 0.500 0.000 0.750 1
Zr4 Zr 0.500 0.500 0.500 1
Hg1 Hg 0.000 0.500 0.750 1
Hg2 Hg 0.500 0.000 0.250 1
As1 As 0.000 0.000 0.500 1
As2 As 0.500 0.500 0.000 1
# Formation energy from the elements, eV/f.u.: -2.0
# SG: No. 119
# E above lowest polymorph, meV per atom: 120



2.
# Na3TcTe, PBEsol geometry, DFT SCAN
data_Na3TcTe
_chemical_formula_sum 'Na3 Tc1 Te1'
_symmetry_space_group_name_H-M 'P 1'
_symmetry_Int_Tables_number 1
_symmetry_space_group_name_Hall 'P 1'
_cell_length_a 5.757
_cell_length_b 5.757
_cell_length_c 5.757
_cell_angle_alpha 90.00
_cell_angle_beta 90.00
_cell_angle_gamma 90.00
loop_
_atom_site_label
_atom_site_type_symbol
_atom_site_fract_x
_atom_site_fract_y
_atom_site_fract_z
_atom_site_occupancy
Na1 Na 0.000 0.000 0.500 1
Na2 Na 0.000 0.500 0.000 1
Na3 Na 0.500 0.000 0.000 1
Tc1 Tc 0.500 0.500 0.500 1
Te1 Te 0.000 0.000 0.000 1
# Uncorrected formation energy, meV/atom: 553
# SG: No. 221



3.
# MnSiSb4, PBEsol geometry, DFT SCAN
data_MnSiSb4
_chemical_formula_sum 'Mn1 Si1 Sb4'
_symmetry_space_group_name_H-M 'P 1'
_symmetry_Int_Tables_number 1
_symmetry_space_group_name_Hall 'P 1'
_cell_length_a 6.050
_cell_length_b 6.050
_cell_length_c 6.050
_cell_angle_alpha 60.00
_cell_angle_beta 60.00
_cell_angle_gamma 60.00
loop_
_atom_site_label
_atom_site_type_symbol
_atom_site_fract_x
_atom_site_fract_y
_atom_site_fract_z
_atom_site_occupancy
Mn1 Mn 0.000 0.000 0.000 1
Si1 Si 0.250 0.250 0.250 1
Sb1 Sb 0.126 0.625 0.625 1
Sb2 Sb 0.625 0.126 0.625 1
Sb3 Sb 0.625 0.625 0.126 1
Sb4 Sb 0.625 0.625 0.625 1
# Uncorrected formation energy, meV/atom: 760
# SG: No. 216